[1]
NpInTc2 | PBE | relaxed

Structure (POSCAR):
```
NpInTc2
1.0
4.6779 0.0000 0.0000
2.3389 4.0512 0.0000
2.3389 1.3504 3.8195
Tc Np In
2 1 1
Cartesian
7.0168 4.0512 2.8646 Tc
2.3389 1.3504 0.9549 Tc
0.0000 0.0000 0.0000 Np
4.6779 2.7008 1.9097 In
```

## Properties
- symmetry = Fm-3m

[2]
NpInTc2 | PBE | relaxed

Structure (POSCAR):
```
NpInTc2
1.0
-0.4990 0.5571 -3.2511
-3.1225 -1.1395 0.2839
-2.0679 6.0020 1.3459
In Tc Np
1 2 1
Cartesian
-2.8447 2.7098 -0.8106 In
-0.4651 1.3499 0.3027 Tc
-1.6029 4.6521 1.0432 Tc
-1.8107 -0.2912 -1.4836 Np
```

## Properties
- symmetry = P4/mmm

[3]
NpInTc2 | PBE | relaxed

Structure (POSCAR):
```
NpInTc2
1.0
-2.3166 -2.1577 1.4707
-1.5849 -1.0883 -4.0934
2.9888 -3.3842 -0.2574
Tc In Np
2 1 1
Cartesian
-0.7925 -0.5442 -2.0467 Tc
1.4944 -1.6921 -0.1287 Tc
-0.4564 -3.3152 -1.4401 In
-1.1583 -1.0789 0.7353 Np
```

## Properties
- symmetry = P4/mmm

[4]
NpInTc | PBE | relaxed

Structure (POSCAR):
```
NpInTc
1.0
-0.7876 0.1592 3.1081
-3.0828 -0.4798 -0.7566
2.7321 -5.7565 -0.6708
Tc In Np
1 1 1
Cartesian
-1.6612 -2.1946 1.3494 Tc
0.0322 -0.2392 0.0204 In
0.4907 -3.6433 0.3109 Np
```

## Properties
- symmetry = I4mm

no.,DFT total energy (Ry per atom),calculated density (g/cm³),formation energy (eV per atom)
1,-0.6576,12.57,0.16
2,-0.6594,12.60,0.13
3,-0.6624,12.74,0.09
4,-0.6260,12.10,0.16